# InIrPb | Alexandria | PBE | optimized geometry
data_InIrPb
_symmetry_space_group_name_H-M 'I 4 m m'
_symmetry_Int_Tables_number 107
_symmetry_space_group_name_Hall 'I 4 -2'
_cell_length_a 3.225
_cell_length_b 3.225
_cell_length_c 13.101
_cell_angle_alpha 90.00
_cell_angle_beta 90.00
_cell_angle_gamma 90.00
loop_
_atom_site_label
_atom_site_type_symbol
_atom_site_fract_x
_atom_site_fract_y
_atom_site_fract_z
In1 In 0.000 0.000 0.000
Ir1 Ir 0.000 0.000 0.625
Pb1 Pb 0.000 0.000 0.272
# formation energy from the elements: 148.8 meV/atom



# RbBi2Pd | Alexandria | PBE | optimized geometry
data_RbBi2Pd
_symmetry_space_group_name_H-M 'F m -3 m'
_symmetry_Int_Tables_number 225
_symmetry_space_group_name_Hall '-F 4 2 3'
_cell_length_a 7.645
_cell_length_b 7.645
_cell_length_c 7.645
_cell_angle_alpha 90.00
_cell_angle_beta 90.00
_cell_angle_gamma 90.00
loop_
_atom_site_label
_atom_site_type_symbol
_atom_site_fract_x
_atom_site_fract_y
_atom_site_fract_z
Rb1 Rb 0.000 0.000 0.000
Bi1 Bi 0.250 0.250 0.250
Pd1 Pd 0.000 0.000 0.500
# formation energy from the elements: 116.2 meV/atom



# InOs2Ru | Alexandria | PBE | optimized geometry
data_InOs2Ru
_symmetry_space_group_name_H-M 'C m m m'
_symmetry_Int_Tables_number 65
_symmetry_space_group_name_Hall '-C 2 2'
_cell_length_a 2.828
_cell_length_b 4.837
_cell_length_c 9.385
_cell_angle_alpha 90.00
_cell_angle_beta 90.00
_cell_angle_gamma 90.00
loop_
_atom_site_label
_atom_site_type_symbol
_atom_site_fract_x
_atom_site_fract_y
_atom_site_fract_z
In1 In 0.000 0.000 0.000
Os1 Os 0.000 0.500 0.263
Ru1 Ru 0.000 0.000 0.500
# formation energy from the elements: 751.5 meV/atom



# HoEr3Cd | Alexandria | PBE | optimized geometry
data_HoEr3Cd
_symmetry_space_group_name_H-M 'C 1 2/m 1'
_symmetry_Int_Tables_number 12
_cell_length_a 12.824
_cell_length_b 3.601
_cell_length_c 12.544
_cell_angle_alpha 90.00
_cell_angle_beta 94.22
_cell_angle_gamma 90.00
loop_
_symmetry_equiv_pos_as_xyz
'x,y,z'
'-x,-y,-z'
'-x,y,-z'
'x,-y,z'
'x+1/2,y+1/2,z'
'-x+1/2,-y+1/2,-z'
'-x+1/2,y+1/2,-z'
'x+1/2,-y+1/2,z'
loop_
_atom_site_label
_atom_site_type_symbol
_atom_site_fract_x
_atom_site_fract_y
_atom_site_fract_z
Ho1 Ho 0.233 0.000 0.256
Er1 Er 0.034 0.000 0.689
Er2 Er 0.135 0.500 0.480
Er3 Er 0.146 0.000 0.945
Cd1 Cd 0.060 0.500 0.127
# formation energy from the elements: -107.0 meV/atom



Q: What is the formation energy from the elements in the fourth record?
A: -107.0 meV/atom



Q: The lowest formation energy from the elements belongs to which entry?
A: HoEr3Cd



Q: Look up the formation energy from the elements of the third one.
A: 751.5 meV/atom



Q: Which formula does entry 3 have?
A: InOs2Ru